GGA+U GdVSe2O8, relaxed; spin magnetization = 6.978 μB/f.u.; calculated volume = 13.96 Å³ per atom; DFT total energy = -354.292 eV/cell
1.0
7.064 0.000 0.000
0.000 6.846 -0.022
0.000 0.252 13.856
Gd V Se O
4 4 8 32
Direct
0.750 0.373 0.866
0.250 0.627 0.134
0.750 0.923 0.068
0.250 0.077 0.932
0.509 0.624 0.621
0.009 0.376 0.379
0.491 0.376 0.379
0.991 0.624 0.621
0.250 0.035 0.653
0.750 0.965 0.347
0.750 0.453 0.134
0.250 0.547 0.866
0.750 0.209 0.599
0.250 0.791 0.401
0.750 0.890 0.842
0.250 0.110 0.158
0.250 0.984 0.773
0.750 0.016 0.227
0.447 0.903 0.611
0.947 0.097 0.389
0.553 0.097 0.389
0.053 0.903 0.611
0.750 0.291 0.039
0.250 0.709 0.961
0.574 0.622 0.104
0.074 0.378 0.896
0.426 0.378 0.896
0.926 0.622 0.104
0.750 0.207 0.721
0.250 0.793 0.279
0.554 0.361 0.571
0.054 0.639 0.429
0.446 0.639 0.429
0.946 0.361 0.571
0.750 0.691 0.920
0.250 0.309 0.080
0.577 0.024 0.903
0.077 0.976 0.097
0.423 0.976 0.097
0.923 0.024 0.903
0.556 0.587 0.737
0.056 0.413 0.263
0.444 0.413 0.263
0.944 0.587 0.737
0.750 0.692 0.580
0.250 0.308 0.420
0.250 0.578 0.616
0.750 0.422 0.384